The following is a PBE-GGA calculation of crystalline Pr4DyEr3Te8 at its relaxed geometry, from Alexandria.

Values from the calculation:
D(E_F): 10.17 states/eV/f.u.
Uncorrected formation energy: -21.45 eV per formula unit
Crystal system: trigonal
Raw total energy: -5.249 eV/atom

Cell lengths 8.7185, 8.7185, 22.4232 Å; angles 90.00, 90.00, 120.00 degrees
Space group R-3m (No. 166, hexagonal axes)
Asymmetric unit:
Pr 0.0000 0.0000 0.0000
Pr 0.0000 0.5000 0.0000
Dy 0.0000 0.0000 0.5000
Er 0.0000 0.5000 0.5000
Te 0.0000 0.0000 0.2438
Te 0.0016 0.5008 0.7558

***

The following is a PBE-GGA calculation of crystalline Y2LuCd at its relaxed geometry, from Alexandria.

Values from the calculation:
D(E_F): 3.19 states/eV/f.u.
Calculated formation energy: 0.162 eV per atom
Distance to the lowest polymorph of the same formula: 0.308 eV per atom
Crystal system: trigonal
Raw total energy: -4.429 eV/atom

Cell lengths 3.4612, 3.4612, 36.0754 Å; angles 90.00, 90.00, 120.00 degrees
Space group R-3m (No. 166, hexagonal axes)
Asymmetric unit:
Y 0.0000 0.0000 0.0893
Lu 0.0000 0.0000 0.5000
Cd 0.0000 0.0000 0.0000

***

The following is a PBE-GGA calculation of crystalline Ac4PdS2Br at its relaxed geometry, from Alexandria.

Values from the calculation:
D(E_F): 4.92 states/eV/f.u.
Uncorrected formation energy: -11.73 eV per formula unit
Crystal system: monoclinic
Raw total energy: -5.411 eV/atom

Cell lengths 7.7359, 4.2545, 7.7861 Å; angles 90.00, 108.41, 90.00 degrees
Space group P2/m (No. 10)
Asymmetric unit:
Ac 0.2336 0.0000 0.2263
Ac 0.2369 0.5000 0.7515
Pd 0.0000 0.0000 0.5000
S 0.0000 0.5000 0.0000
S 0.5000 0.0000 0.0000
Br 0.5000 0.5000 0.5000

***

The following is a PBE-GGA calculation of crystalline ScNbGe3 at its relaxed geometry, from Alexandria.

Values from the calculation:
D(E_F): 4.28 states/eV/f.u.
Calculated formation energy: 0.284 eV per atom
Crystal system: cubic
Raw total energy: -5.767 eV/atom

Cell lengths 4.9437, 4.9437, 4.9437 Å; angles 90.00, 90.00, 90.00 degrees
Space group Pm-3m (No. 221)
Asymmetric unit:
Sc 0.0000 0.0000 0.0000
Nb 0.5000 0.5000 0.5000
Ge 0.0000 0.5000 0.5000

***

The following is a PBE-GGA calculation of crystalline Li2Ac2LaPb2 at its relaxed geometry, from Alexandria.

Values from the calculation:
D(E_F): 5.89 states/eV/f.u.
Calculated formation energy: -0.356 eV per atom
Crystal system: trigonal
Raw total energy: -3.840 eV/atom

Cell lengths 4.9455, 4.9455, 31.7959 Å; angles 90.00, 90.00, 120.00 degrees
Space group R-3m (No. 166, hexagonal axes)
Asymmetric unit:
Li 0.0000 0.0000 0.1122
Ac 0.0000 0.0000 0.3766
La 0.0000 0.0000 0.5000
Pb 0.0000 0.0000 0.2271

***

The following is a PBE-GGA calculation of crystalline Tl2HgAsI6 at its relaxed geometry, from Alexandria.

Values from the calculation:
D(E_F): 2.75 states/eV/f.u.
Uncorrected formation energy: -3.30 eV per formula unit
Crystal system: triclinic
Raw total energy: -2.228 eV/atom

Cell lengths 8.2137, 8.3451, 8.4331 Å; angles 91.68, 117.66, 119.11 degrees
Space group P1 (No. 1)
Asymmetric unit:
Tl 0.0000 0.0000 0.0000
Tl 0.0024 0.4954 0.5039
Hg 0.5845 0.7952 0.3803
As 0.5915 0.2984 0.8866
I 0.0644 0.4532 0.1241
I 0.1219 0.1381 0.6568
I 0.5198 0.0670 0.1297
I 0.5256 0.9858 0.6438
I 0.6694 0.6114 0.1398
I 0.6702 0.5366 0.6554

***

The following is a PBE-GGA calculation of crystalline H4SeS2 at its relaxed geometry, from Alexandria.

Values from the calculation:
D(E_F): 0.00 states/eV/f.u.
Distance to the lowest polymorph of the same formula: 0.000 eV per atom
Crystal system: triclinic
Raw total energy: -3.634 eV/atom

Cell lengths 5.4285, 6.2556, 10.2084 Å; angles 106.07, 104.02, 95.09 degrees
Space group P1 (No. 1)
Asymmetric unit:
H 0.0000 0.0000 0.0000
H 0.0180 0.0387 0.7082
H 0.2727 0.3186 0.7076
H 0.3839 0.7763 0.5057
H 0.5790 0.6420 0.9965
H 0.6459 0.2177 0.0321
H 0.7031 0.3795 0.5046
H 0.9582 0.4444 0.0280
Se 0.0898 0.1239 0.5976
Se 0.8551 0.3931 0.1403
S 0.4801 0.3630 0.4034
S 0.5024 0.6933 0.4036
S 0.5459 0.7424 0.8916
S 0.9269 0.7996 0.8928

***

The following is a PBE-GGA calculation of crystalline SbPBr2 at its relaxed geometry, from Alexandria.

Values from the calculation:
D(E_F): 3.28 states/eV/f.u.
Uncorrected formation energy: 2.63 eV per formula unit
Distance to the lowest polymorph of the same formula: 0.856 eV per atom
Crystal system: orthorhombic
Raw total energy: -2.563 eV/atom

Cell lengths 3.3302, 4.3846, 6.4948 Å; angles 90.00, 90.00, 90.00 degrees
Space group Pmmm (No. 47)
Asymmetric unit:
Sb 0.0000 0.0000 0.0000
P 0.0000 0.0000 0.5000
Br 0.5000 0.5000 0.2532

***

The following is a PBE-GGA calculation of crystalline Nd3Ge3Rh at its relaxed geometry, from Alexandria.

Values from the calculation:
D(E_F): 5.55 states/eV/f.u.
Calculated formation energy: -0.865 eV per atom
Crystal system: monoclinic
Raw total energy: -5.938 eV/atom

Cell lengths 10.9814, 4.4040, 14.4159 Å; angles 90.00, 110.19, 90.00 degrees
Space group C2/m (No. 12)
Asymmetric unit:
Nd 0.0308 0.0000 0.3799
Nd 0.1013 0.0000 0.9214
Nd 0.2463 0.0000 0.2337
Ge 0.0414 0.5000 0.2333
Ge 0.1157 0.5000 0.0746
Ge 0.1399 0.5000 0.5390
Rh 0.2502 0.0000 0.6054

***

The following is a PBE-GGA calculation of crystalline In2HgSe at its relaxed geometry, from Alexandria.

Values from the calculation:
D(E_F): 0.53 states/eV/f.u.
Uncorrected formation energy: -0.47 eV per formula unit
Distance to the lowest polymorph of the same formula: 0.132 eV per atom
Crystal system: cubic
Raw total energy: -2.434 eV/atom

Cell lengths 7.6059, 7.6059, 7.6059 Å; angles 90.00, 90.00, 90.00 degrees
Space group Fm-3m (No. 225)
Asymmetric unit:
In 0.2500 0.2500 0.2500
Hg 0.0000 0.0000 0.0000
Se 0.0000 0.0000 0.5000

***

The following is a PBE-GGA calculation of crystalline RbZnSbPb at its relaxed geometry, from Alexandria.

Values from the calculation:
D(E_F): 1.05 states/eV/f.u.
Uncorrected formation energy: -0.65 eV per formula unit
Crystal system: tetragonal
Raw total energy: -2.681 eV/atom

Cell lengths 4.4224, 4.4224, 14.6276 Å; angles 90.00, 90.00, 90.00 degrees
Space group P4/nmm (No. 129, origin choice 2)
Asymmetric unit:
Rb 0.2500 0.2500 0.2471
Zn 0.2500 0.7500 0.0000
Sb 0.2500 0.2500 0.8854
Pb 0.2500 0.7500 0.5000

***

The following is a PBE-GGA calculation of crystalline Y6Ge3SeS2 at its relaxed geometry, from Alexandria.

Values from the calculation:
D(E_F): 3.23 states/eV/f.u.
Uncorrected formation energy: -17.38 eV per formula unit
Crystal system: monoclinic
Raw total energy: -6.813 eV/atom

Cell lengths 17.8287, 4.0856, 8.1886 Å; angles 90.00, 103.72, 90.00 degrees
Space group C2/m (No. 12)
Asymmetric unit:
Y 0.0005 0.0000 0.2580
Y 0.1666 0.5000 0.5844
Y 0.1698 0.5000 0.0832
Ge 0.0000 0.5000 0.5000
Ge 0.1657 0.0000 0.8320
Se 0.0000 0.5000 0.0000
S 0.1674 0.0000 0.3340

***

What is the raw total energy in the seventh record? -3.634 eV/atom